! MgMo2Ru PBE relaxed; values from VASP
&SYSTEM
  ibrav = 0, nat = 4, ntyp = 3
/
ATOMIC_SPECIES
Mg 24.30 Mg.upf
Mo 95.94 Mo.upf
Ru 101.07 Ru.upf
CELL_PARAMETERS angstrom
2.7603 0.0000 0.0000
0.0000 4.4086 0.0000
-1.2912 0.0000 5.1163
ATOMIC_POSITIONS angstrom
Mg 0.0000 0.0000 0.0000
Mo 0.3714 2.2043 3.8207
Mo 1.0976 2.2043 1.2956
Ru -0.6456 0.0000 2.5582
! - raw total energy (eV/atom) = -7.94



! Mn2PdRhI PBE relaxed; values from VASP
&SYSTEM
  ibrav = 0, nat = 5, ntyp = 4
/
ATOMIC_SPECIES
Mn 54.94 Mn.upf
Pd 106.42 Pd.upf
Rh 102.91 Rh.upf
I 126.90 I.upf
CELL_PARAMETERS angstrom
4.8196 0.0000 0.0000
0.0000 4.8196 0.0000
0.0000 0.0000 5.1547
ATOMIC_POSITIONS angstrom
Mn 0.0000 2.4098 0.0000
Mn 2.4098 0.0000 0.0000
Pd 0.0000 0.0000 0.0000
Rh 2.4098 2.4098 2.5774
I 0.0000 0.0000 2.5774
! - formation energy without anion corrections (eV per atom) = 1.13